# 1
A plane-wave DFT calculation with PBEsol was carried out for CaNiSn3 after structural relaxation.

Results
Raw total energy, eV per atom: -4.40
N(E_F), states/eV/cell: 2.25

abc: 4.992 4.992 4.992
angles: 90.00 90.00 90.00
Fractional positions:
1 Ni 0.000 0.000 0.000
2 Ca 0.500 0.500 0.500
3 Sn 0.000 0.500 0.000
4 Sn 0.000 0.000 0.500
5 Sn 0.500 0.000 0.000

=====

# 2
A plane-wave DFT calculation with PBEsol was carried out for KOs2W after structural relaxation.

Results
Raw total energy, eV per atom: -8.42
N(E_F), states/eV/cell: 2.63

abc: 2.895 5.110 5.576
angles: 117.27 105.05 90.00
Fractional positions:
1 K 0.000 0.500 0.000
2 Os 0.782 0.782 0.564
3 Os 0.218 0.218 0.436
4 W 0.500 0.000 0.000

=====

# 3
A plane-wave DFT calculation with PBEsol was carried out for RbCoN after structural relaxation.

Results
Raw total energy, eV per atom: -5.86
N(E_F), states/eV/cell: 7.29

abc: 3.450 6.353 10.602
angles: 90.00 90.00 90.00
Site moments in Bohr magnetons follow the coordinates.
Fractional positions:
1 Rb 0.250 0.074 0.664  0.00
2 Rb 0.250 0.426 0.164  0.00
3 Rb 0.750 0.926 0.336  0.00
4 Rb 0.750 0.574 0.836  0.00
5 Co 0.250 0.596 0.543  0.33
6 Co 0.250 0.904 0.043  0.33
7 Co 0.750 0.404 0.457  0.33
8 Co 0.750 0.096 0.957  0.33
9 N 0.250 0.146 0.937  0.07
10 N 0.250 0.354 0.437  0.07
11 N 0.750 0.854 0.063  0.07
12 N 0.750 0.646 0.563  0.07

=====

# 4
A plane-wave DFT calculation with PBEsol was carried out for Sc2SiSe after structural relaxation.

Results
N(E_F), states/eV/cell: 3.66
Energy above the lowest structure with this stoichiometry, meV per atom: 919

abc: 3.317 3.317 8.672
angles: 78.97 78.97 60.00
Site moments in Bohr magnetons follow the coordinates.
Fractional positions:
1 Sc 0.992 0.992 0.024  0.15
2 Sc 0.761 0.761 0.716  0.20
3 Se 0.504 0.504 0.488  -0.01
4 Si 0.243 0.243 0.272  -0.01

=====

# 5
A plane-wave DFT calculation with PBEsol was carried out for SbMo3Ir after structural relaxation.

Results
Raw total energy, eV per atom: -7.45
N(E_F), states/eV/cell: 8.52

abc: 4.722 4.722 4.722
angles: 90.00 90.00 90.00
Fractional positions:
1 Sb 0.000 0.000 0.000
2 Mo 0.000 0.500 0.000
3 Mo 0.000 0.000 0.500
4 Mo 0.500 0.000 0.000
5 Ir 0.500 0.500 0.500

=====

# 6
A plane-wave DFT calculation with PBEsol was carried out for Sc2TaRh after structural relaxation.

Results
N(E_F), states/eV/cell: 3.54
Energy above the lowest structure with this stoichiometry, meV per atom: 60

abc: 3.069 3.069 9.051
angles: 80.24 80.24 60.00
Fractional positions:
1 Rh 0.000 0.000 0.000
2 Sc 0.258 0.258 0.225
3 Sc 0.742 0.742 0.775
4 Ta 0.500 0.500 0.500

=====

# 7
A plane-wave DFT calculation with PBEsol was carried out for OsRh2Br after structural relaxation.

Results
N(E_F), states/eV/cell: 4.25
Energy above the lowest structure with this stoichiometry, meV per atom: 0

abc: 2.795 2.795 7.739
angles: 90.00 90.00 90.00
Fractional positions:
1 Br 0.500 0.500 0.000
2 Os 0.500 0.500 0.500
3 Rh 0.000 0.000 0.729
4 Rh 0.000 0.000 0.271

=====

# 8
A plane-wave DFT calculation with PBEsol was carried out for LiBe3Nb after structural relaxation.

Results
Raw total energy, eV per atom: -4.53
N(E_F), states/eV/cell: 0.67

abc: 3.737 3.737 3.737
angles: 90.00 90.00 90.00
Fractional positions:
1 Be 0.000 0.500 0.000
2 Be 0.000 0.000 0.500
3 Be 0.500 0.000 0.000
4 Nb 0.500 0.500 0.500
5 Li 0.000 0.000 0.000

=====

# 9
A plane-wave DFT calculation with PBEsol was carried out for YMgSeN2 after structural relaxation.

Results
Raw total energy, eV per atom: -5.74
N(E_F), states/eV/cell: 3.36

abc: 4.047 4.047 4.919
angles: 90.00 90.00 90.00
Site moments in Bohr magnetons follow the coordinates.
Fractional positions:
1 Y 0.500 0.500 0.500  -0.04
2 Mg 0.000 0.000 0.000  0.02
3 Se 0.000 0.000 0.500  0.20
4 N 0.000 0.500 0.000  0.71
5 N 0.500 0.000 0.000  0.71

=====

# 10
A plane-wave DFT calculation with PBEsol was carried out for V2CoS4 after structural relaxation.

Results
Raw total energy, eV per atom: -7.31
N(E_F), states/eV/cell: 4.21

abc: 3.175 5.697 6.076
angles: 114.78 105.15 90.00
Fractional positions:
1 S 0.365 0.024 0.730
2 S 0.635 0.976 0.270
3 S 0.102 0.439 0.203
4 S 0.898 0.561 0.797
5 Co 0.000 0.000 0.000
6 V 0.260 0.311 0.521
7 V 0.740 0.689 0.479

=====

# 11
A plane-wave DFT calculation with PBEsol was carried out for CaHg3 after structural relaxation.

Results
Raw total energy, eV per atom: -1.39
N(E_F), states/eV/cell: 1.73

abc: 4.563 4.563 4.563
angles: 90.00 90.00 90.00
Fractional positions:
1 Ca 0.000 0.000 0.000
2 Hg 0.000 0.500 0.500
3 Hg 0.500 0.000 0.500
4 Hg 0.500 0.500 0.000

=====

# 12
A plane-wave DFT calculation with PBEsol was carried out for Ba4Bi3F17 after structural relaxation.

Results
Raw total energy, eV per atom: -5.48
N(E_F), states/eV/cell: 0.00

abc: 9.387 9.431 9.491
angles: 72.76 72.78 72.99
Fractional positions:
1 Ba 0.306 0.896 0.051
2 Ba 0.263 0.270 0.270
3 Ba 0.887 0.063 0.311
4 Ba 0.939 0.690 0.113
5 Ba 0.059 0.314 0.882
6 Ba 0.110 0.949 0.688
7 Ba 0.730 0.737 0.733
8 Ba 0.690 0.112 0.942
9 Bi 0.616 0.464 0.160
10 Bi 0.153 0.616 0.465
11 Bi 0.533 0.846 0.385
12 Bi 0.474 0.178 0.611
13 Bi 0.815 0.384 0.539
14 Bi 0.385 0.534 0.839
15 F 0.005 0.000 0.995
16 F 0.175 0.457 0.020
17 F 0.138 0.144 0.137
18 F 0.489 0.356 0.046
19 F 0.452 0.021 0.175
20 F 0.790 0.263 0.074
21 F 0.019 0.177 0.454
22 F 0.038 0.495 0.356
23 F 0.075 0.792 0.260
24 F 0.343 0.547 0.258
25 F 0.605 0.703 0.200
26 F 0.557 0.245 0.338
27 F 0.356 0.046 0.488
28 F 0.812 0.394 0.288
29 F 0.740 0.926 0.210
30 F 0.295 0.801 0.402
31 F 0.256 0.348 0.549
32 F 0.552 0.418 0.537
33 F 0.741 0.655 0.454
34 F 0.732 0.157 0.612
35 F 0.263 0.084 0.782
36 F 0.197 0.591 0.707
37 F 0.645 0.957 0.507
38 F 0.450 0.744 0.654
39 F 0.399 0.284 0.820
40 F 0.662 0.446 0.762
41 F 0.922 0.215 0.738
42 F 0.952 0.514 0.643
43 F 0.979 0.827 0.545
44 F 0.212 0.739 0.919
45 F 0.544 0.981 0.827
46 F 0.506 0.647 0.959
47 F 0.861 0.859 0.863
48 F 0.823 0.548 0.979

=====

# 13
A plane-wave DFT calculation with PBEsol was carried out for ZrMnCu after structural relaxation.

Results
Raw total energy, eV per atom: -7.11
N(E_F), states/eV/cell: 4.93

abc: 4.151 4.151 4.151
angles: 60.00 60.00 60.00
Site moments in Bohr magnetons follow the coordinates.
Fractional positions:
1 Cu 0.500 0.500 0.500  0.13
2 Mn 0.750 0.750 0.750  2.23
3 Zr 0.000 0.000 0.000  -0.17

=====

# 14
A plane-wave DFT calculation with PBEsol was carried out for Ba4NaGa2B8Cl3O18 after structural relaxation.

Results
Raw total energy, eV per atom: -7.36
N(E_F), states/eV/cell: 0.00

abc: 6.856 12.117 12.117
angles: 90.00 90.00 90.00
Fractional positions:
1 Ba 0.670 0.720 0.018
2 Ba 0.670 0.280 0.982
3 Ba 0.170 0.780 0.518
4 Ba 0.170 0.220 0.482
5 Ba 0.670 0.982 0.280
6 Ba 0.670 0.018 0.720
7 Ba 0.170 0.518 0.780
8 Ba 0.170 0.482 0.220
9 Na 0.991 0.000 0.000
10 Na 0.491 0.500 0.500
11 Ga 0.673 0.705 0.705
12 Ga 0.673 0.295 0.295
13 Ga 0.173 0.795 0.205
14 Ga 0.173 0.205 0.795
15 B 0.211 0.766 0.966
16 B 0.211 0.234 0.034
17 B 0.711 0.734 0.466
18 B 0.711 0.266 0.534
19 B 0.211 0.034 0.234
20 B 0.211 0.966 0.766
21 B 0.711 0.466 0.734
22 B 0.711 0.534 0.266
23 B 0.298 0.767 0.767
24 B 0.298 0.233 0.233
25 B 0.798 0.733 0.267
26 B 0.798 0.267 0.733
27 B 0.972 0.820 0.820
28 B 0.972 0.180 0.180
29 B 0.472 0.680 0.320
30 B 0.472 0.320 0.680
31 Cl 0.939 0.500 0.000
32 Cl 0.439 0.000 0.500
33 Cl 0.939 0.000 0.500
34 Cl 0.439 0.500 0.000
35 Cl 0.606 0.000 0.000
36 Cl 0.106 0.500 0.500
37 O 0.764 0.806 0.806
38 O 0.764 0.194 0.194
39 O 0.264 0.694 0.306
40 O 0.264 0.306 0.694
41 O 0.024 0.801 0.940
42 O 0.024 0.199 0.060
43 O 0.524 0.699 0.440
44 O 0.524 0.301 0.560
45 O 0.024 0.060 0.199
46 O 0.024 0.940 0.801
47 O 0.524 0.440 0.699
48 O 0.524 0.560 0.301
49 O 0.406 0.694 0.694
50 O 0.406 0.306 0.306
51 O 0.906 0.806 0.194
52 O 0.906 0.194 0.806
53 O 0.344 0.742 0.884
54 O 0.344 0.258 0.116
55 O 0.844 0.758 0.384
56 O 0.844 0.242 0.616
57 O 0.344 0.116 0.258
58 O 0.344 0.884 0.742
59 O 0.844 0.384 0.758
60 O 0.844 0.616 0.242
61 O 0.778 0.744 0.571
62 O 0.778 0.256 0.429
63 O 0.278 0.756 0.071
64 O 0.278 0.244 0.929
65 O 0.778 0.429 0.256
66 O 0.778 0.571 0.744
67 O 0.278 0.071 0.756
68 O 0.278 0.929 0.244
69 O 0.088 0.749 0.749
70 O 0.088 0.251 0.251
71 O 0.588 0.751 0.249
72 O 0.588 0.249 0.751

=====

# 15
A plane-wave DFT calculation with PBEsol was carried out for NaAg3P after structural relaxation.

Results
Raw total energy, eV per atom: -2.23
N(E_F), states/eV/cell: 2.26

abc: 4.711 4.711 4.711
angles: 90.00 90.00 90.00
Fractional positions:
1 P 0.500 0.500 0.500
2 Ag 0.000 0.500 0.000
3 Ag 0.000 0.000 0.500
4 Ag 0.500 0.000 0.000
5 Na 0.000 0.000 0.000

=====

# 16
A plane-wave DFT calculation with PBEsol was carried out for Re5Ir after structural relaxation.

Results
N(E_F), states/eV/cell: 4.04
Energy above the lowest structure with this stoichiometry, meV per atom: 9

abc: 2.742 5.189 6.499
angles: 103.57 90.00 105.32
Fractional positions:
1 Ir 0.000 0.000 0.001
2 Re 0.390 0.780 0.278
3 Re 0.665 0.330 0.332
4 Re 0.055 0.110 0.613
5 Re 0.334 0.668 0.664
6 Re 0.722 0.444 0.945

=====

# 17
A plane-wave DFT calculation with PBEsol was carried out for CuPt5 after structural relaxation.

Results
Raw total energy, eV per atom: -6.20
N(E_F), states/eV/cell: 4.35

abc: 4.438 5.123 5.123
angles: 120.00 90.00 90.00
Fractional positions:
1 Cu 0.000 0.000 0.000
2 Pt 0.500 0.000 0.500
3 Pt 0.000 0.667 0.333
4 Pt 0.500 0.500 0.500
5 Pt 0.500 0.500 0.000
6 Pt 0.000 0.333 0.667

=====

# 18
A plane-wave DFT calculation with PBEsol was carried out for LiRhW2 after structural relaxation.

Results
N(E_F), states/eV/cell: 1.90
Energy above the lowest structure with this stoichiometry, meV per atom: 0

abc: 3.002 4.251 5.155
angles: 114.35 106.93 90.00
Fractional positions:
1 Li 0.500 0.000 0.000
2 Rh 0.000 0.500 0.000
3 W 0.745 0.745 0.489
4 W 0.255 0.255 0.511

=====

# 19
A plane-wave DFT calculation with PBEsol was carried out for CdTePt after structural relaxation.

Results
Raw total energy, eV per atom: -3.86
N(E_F), states/eV/cell: 1.37

abc: 3.201 3.201 6.473
angles: 104.32 104.32 90.00
Fractional positions:
1 Te 0.688 0.688 0.377
2 Pt 0.335 0.335 0.671
3 Cd 0.976 0.976 0.953

=====

# 20
A plane-wave DFT calculation with PBEsol was carried out for CrPdAuN2 after structural relaxation.

Results
Raw total energy, eV per atom: -6.69
N(E_F), states/eV/cell: 3.26

abc: 3.639 3.639 5.041
angles: 90.00 90.00 90.00
Fractional positions:
1 Cr 0.000 0.000 0.000
2 Au 0.500 0.500 0.500
3 Pd 0.000 0.000 0.500
4 N 0.000 0.500 0.000
5 N 0.500 0.000 0.000

=====

# 21
A plane-wave DFT calculation with PBEsol was carried out for BeP2Se after structural relaxation.

Results
N(E_F), states/eV/cell: 1.95
Energy above the lowest structure with this stoichiometry, meV per atom: 72

abc: 2.988 2.988 8.211
angles: 90.00 90.00 115.70
Fractional positions:
1 P 0.000 0.000 0.016
2 P 0.500 0.500 0.820
3 Se 0.000 0.000 0.424
4 Be 0.500 0.500 0.240

=====

# 22
A plane-wave DFT calculation with PBEsol was carried out for MoAsF3 after structural relaxation.

Results
Raw total energy, eV per atom: -5.37
N(E_F), states/eV/cell: 2.62

abc: 4.224 4.224 4.224
angles: 90.00 90.00 90.00
Site moments in Bohr magnetons follow the coordinates.
Fractional positions:
1 Mo 0.000 0.000 0.000  2.75
2 As 0.500 0.500 0.500  1.18
3 F 0.000 0.500 0.000  0.13
4 F 0.000 0.000 0.500  0.13
5 F 0.500 0.000 0.000  0.13